No. 1
Computed, not measured: crystalline Li2HfPt4 at its relaxed geometry at the PBE-GGA level of DFT.

Cell lengths 5.2894, 5.2894, 5.2894 Å; angles 112.95, 107.76, 107.76 degrees
Fractional coordinates of all 7 atoms:
Li  0.5000  0.5000  0.0000
Li  0.5000  0.0000  0.5000
Hf  0.0000  0.0000  0.0000
Pt  0.5000  0.0000  0.0000
Pt  0.5000  0.5000  0.5000
Pt  0.0000  0.0000  0.5000
Pt  0.0000  0.5000  0.0000

Summary:
Size of the total moment (μB/cell): 0.0
Formation energy from the elements (eV per atom): -0.553


No. 2
Computed, not measured: crystalline Li2HfPt2 at its relaxed geometry at the PBE-GGA level of DFT.

Cell lengths 6.9587, 4.3706, 4.3703 Å; angles 59.67, 51.34, 51.32 degrees
Fractional coordinates of all 5 atoms:
Li  0.3887  0.4084  0.4085
Li  0.6113  0.5916  0.5915
Hf  0.0000  0.0000  0.0000
Pt  0.7896  0.8067  0.8067
Pt  0.2104  0.1933  0.1933

Summary:
Size of the total moment (μB/cell): 0.0
Distance to the lowest polymorph of the same formula (meV/atom): 0.0
Formation energy from the elements (eV per atom): -0.730


No. 3
Computed, not measured: crystalline Li2Hf2Pt5 at its relaxed geometry at the PBE-GGA level of DFT.

Cell lengths 7.0453, 5.6883, 8.5003 Å; angles 109.55, 114.48, 90.00 degrees
Fractional coordinates of all 18 atoms:
Li  0.1144  0.5869  0.1383
Li  0.8856  0.4486  0.8617
Li  0.5239  0.0869  0.1383
Li  0.4761  0.9486  0.8617
Hf  0.0000  0.0236  0.0000
Hf  0.5000  0.5236  0.0000
Hf  0.1888  0.3005  0.5000
Hf  0.8112  0.8005  0.5000
Pt  0.1451  0.6721  0.7956
Pt  0.8549  0.8765  0.2044
Pt  0.1505  0.1721  0.7956
Pt  0.8495  0.3765  0.2044
Pt  0.3587  0.9778  0.3003
Pt  0.6413  0.6775  0.6997
Pt  0.4417  0.4778  0.3003
Pt  0.5583  0.1775  0.6997
Pt  0.2103  0.7725  0.5000
Pt  0.7897  0.2725  0.5000

Summary:
Size of the total moment (μB/cell): 0.0
Formation energy from the elements (eV per atom): -0.739


No. 4
Computed, not measured: crystalline LiHf2Pt at its relaxed geometry at the PBE-GGA level of DFT.

Cell lengths 7.6299, 7.6299, 6.1074 Å; angles 51.34, 51.34, 90.00 degrees
Fractional coordinates of all 8 atoms:
Hf  0.6645  0.1250  0.2500
Hf  0.0855  0.6250  0.2500
Hf  0.3750  0.3355  0.7500
Hf  0.8750  0.9145  0.7500
Pt  0.0000  0.0000  0.0000
Pt  0.7500  0.2500  0.5000
Li  0.5000  0.5000  0.0000
Li  0.2500  0.7500  0.5000

Summary:
Size of the total moment (μB/cell): 0.0
Formation energy from the elements (eV per atom): -0.092